No. 1
## PrMnNi2H8 (GGA-PBE)

Data for crystalline PrMnNi2H8 at its relaxed geometry.

Lattice parameters (Å, degrees): 4.4946 4.4946 6.0281 68.11 68.11 60.00
Last column: nearest neighbours and their distance in Å.
Fractional positions:
1 Pr 0.5000 0.5000 0.5000  12 H 2.35-2.63
2 Mn 0.0000 0.0000 0.0000  6 H 1.69
3 Ni 0.2926 0.2926 0.1221  4 H 1.61-1.65
4 Ni 0.7074 0.7074 0.8779  4 H 1.61-1.65
5 H 0.1940 0.1940 0.4181  1 Ni 1.61
6 H 0.6425 0.2969 0.1500  1 Ni 1.65, 1 Mn 1.69
7 H 0.8060 0.8060 0.5819  1 Ni 1.61
8 H 0.9106 0.6425 0.1500  1 Ni 1.65, 1 Mn 1.69
9 H 0.0894 0.3575 0.8500  1 Ni 1.65, 1 Mn 1.69
10 H 0.2969 0.9106 0.1500  1 Ni 1.65, 1 Mn 1.69
11 H 0.7031 0.0894 0.8500  1 Ni 1.65, 1 Mn 1.69
12 H 0.3575 0.7031 0.8500  1 Ni 1.65, 1 Mn 1.69

Computed properties:
space-group type	No. 148
DOS(E_F)	2.5	states/eV per cell
final energy	-4.5252	eV/atom
crystal system	trigonal
total moment	2.88	μB/f.u.

No. 2
## Mn2NiHPt (GGA-PBE)

Data for crystalline Mn2NiHPt at its relaxed geometry.

Lattice parameters (Å, degrees): 3.9733 3.5833 3.9733 90.00 90.00 90.00
Last column: nearest neighbours and their distance in Å.
Fractional positions:
1 Ni 0.0000 0.5000 0.0000  2 H 1.79
2 Mn 0.0000 0.0000 0.5000  2 H 1.99
3 Mn 0.5000 0.0000 0.0000  2 H 1.99
4 Pt 0.5000 0.5000 0.5000  8 Mn 2.68, 4 Ni 2.81
5 H 0.0000 0.0000 0.0000  2 Ni 1.79, 4 Mn 1.99

Computed properties:
space-group type	No. 123
DOS(E_F)	3.0	states/eV per cell
energy relative to the lowest polymorph listed for this composition	0.0	meV/atom
crystal system	tetragonal
total moment	8.13	μB/f.u.